Density functional theory data (GGA-PBE) for a relaxed K3HO2 crystal.

Cell lengths 7.9868, 7.8998, 7.8997 Å; angles 46.54, 40.64, 40.64 degrees
Atoms (fractional coordinates):
K  0.7500  0.5000  0.5000
K  0.5354  0.8096  0.8098
K  0.0354  0.8099  0.8096
K  0.4646  0.1904  0.1902
K  0.2500  0.5000  0.5000
K  0.9646  0.1901  0.1904
H  0.5000  0.0000  0.0000
H  0.0000  0.0000  0.0000
O  0.5001  0.2016  0.7981
O  0.9999  0.2019  0.7984
O  0.0001  0.7981  0.2016
O  0.4999  0.7984  0.2019

Results
- electronic total energy (eV/cell) = -46.44
- E above lowest polymorph (kJ/mol of atoms) = 0.00
- space group = Immm (71)